a | Crystalline SmDy3Th3 at its relaxed geometry, computed with GGA-PBE.

ρ   9.70 g/cm³
N(E_F)   23.52 states/eV per cell

The structure in extended XYZ format:
```
14
Lattice="9.5124 0.0000 0.0000 -4.7562 8.2380 0.0000 0.0000 0.0000 5.8305" Properties=species:S:1:pos:R:3 pbc="T T T"
Sm 0.0000 5.4920 1.4576
Sm 4.7562 2.7460 4.3729
Dy -0.7273 1.9630 1.4576
Dy -2.6925 7.8864 1.4576
Dy 1.3364 1.6114 4.3729
Dy 3.4198 6.6266 1.4576
Dy 7.4487 0.3516 4.3729
Dy 5.4835 6.2750 4.3729
Th -1.3395 3.9950 4.3729
Th -0.6267 7.4005 4.3729
Th 2.7901 3.1575 1.4576
Th 1.9662 5.0804 4.3729
Th 5.3829 0.8375 1.4576
Th 6.0957 4.2430 1.4576
```

***

b | Crystalline SmDy3Th3 at its relaxed geometry, computed with GGA-PBE.

ρ   9.71 g/cm³
N(E_F)   21.45 states/eV per cell

The structure in extended XYZ format:
```
14
Lattice="9.4790 0.0000 0.0000 -4.7395 8.2091 0.0000 0.0000 0.0000 5.8634" Properties=species:S:1:pos:R:3 pbc="T T T"
Sm 0.0000 5.4727 1.4659
Sm 4.7395 2.7364 4.3976
Dy -2.0819 5.1073 4.3976
Dy 1.3574 3.8525 4.3976
Dy 4.0151 0.7507 1.4659
Dy 0.7245 7.4584 4.3976
Dy 3.3821 4.3566 1.4659
Dy 6.8214 3.1018 1.4659
Th -3.4138 6.6704 1.4659
Th 0.6696 1.9175 1.4659
Th 1.9954 0.3788 4.3976
Th 2.7441 7.8303 1.4659
Th 4.0699 6.2916 4.3976
Th 8.1533 1.5387 4.3976
```

***

Most stable to least stable: b, a

***

a | Crystalline Sm7Dy4Th at its relaxed geometry, computed with GGA-PBE.

ρ   8.12 g/cm³
N(E_F)   16.26 states/eV per cell

The structure in extended XYZ format:
```
12
Lattice="6.2763 0.0000 0.0000 -0.0026 7.2502 0.0000 -2.1130 -0.0122 8.6944" Properties=species:S:1:pos:R:3 pbc="T T T"
Sm 0.0000 0.0000 0.0000
Sm -0.0412 3.6162 5.8292
Sm 1.0315 1.8164 2.8874
Sm 1.0240 1.8251 8.6862
Sm 3.1367 5.4128 0.0082
Sm 3.1292 5.4216 5.8070
Sm 4.2019 3.6218 2.8653
Dy -0.0202 7.2419 5.7681
Dy 1.0248 5.4344 2.8762
Dy 3.1359 1.8036 5.8182
Dy 4.1809 -0.0039 2.9263
Th -0.0013 3.6251 0.0000
```

***

b | Crystalline Sm7Dy4Th at its relaxed geometry, computed with GGA-PBE.

ρ   7.86 g/cm³
N(E_F)   16.86 states/eV per cell

The structure in extended XYZ format:
```
12
Lattice="6.0575 -3.0099 0.0000 6.0575 3.0099 0.0000 -6.0280 0.0000 11.2088" Properties=species:S:1:pos:R:3 pbc="T T T"
Sm 0.0000 0.0000 0.0000
Sm -3.0227 0.0000 10.3246
Sm -1.2069 0.0000 7.5825
Sm 1.4776 0.0000 5.6190
Sm 4.6094 0.0000 5.5898
Sm 7.2939 0.0000 3.6263
Sm 9.1097 0.0000 0.8842
Dy -1.1268 0.0000 3.5784
Dy 3.0365 0.0000 2.5039
Dy 3.0504 0.0000 8.7049
Dy 7.2137 0.0000 7.6304
Th 6.0575 0.0000 0.0000
```

***

Most stable to least stable: a, b

***

a | Crystalline Sm4Dy7Th at its relaxed geometry, computed with GGA-PBE.

ρ   8.07 g/cm³
N(E_F)   18.12 states/eV per cell

The structure in extended XYZ format:
```
12
Lattice="6.0702 -2.9790 0.0000 6.0702 2.9790 0.0000 -6.0247 0.0000 11.2103" Properties=species:S:1:pos:R:3 pbc="T T T"
Sm -1.2114 0.0000 3.6517
Sm 3.0415 0.0000 2.5027
Sm 3.0742 0.0000 8.7076
Sm 7.3271 0.0000 7.5586
Dy 0.0000 0.0000 0.0000
Dy -3.0140 0.0000 10.3513
Dy -1.1324 0.0000 7.6308
Dy 1.4474 0.0000 5.5809
Dy 4.6683 0.0000 5.6293
Dy 7.2481 0.0000 3.5795
Dy 9.1297 0.0000 0.8590
Th 6.0702 0.0000 0.0000
```

***

b | Crystalline Sm4Dy7Th at its relaxed geometry, computed with GGA-PBE.

ρ   8.45 g/cm³
N(E_F)   16.00 states/eV per cell

The structure in extended XYZ format:
```
12
Lattice="7.1343 0.0000 0.0000 -3.5648 7.1516 0.0000 -1.7514 -1.7859 7.5907" Properties=species:S:1:pos:R:3 pbc="T T T"
Sm -0.8627 0.9182 1.2797
Sm -0.8614 4.4571 1.2995
Sm 2.6795 0.9086 6.2912
Sm 2.6808 4.4475 6.3110
Dy -2.6581 2.6829 3.7954
Dy 0.9072 -0.8589 3.7934
Dy -0.8366 0.9214 6.2933
Dy 2.6644 0.9111 1.2902
Dy -0.8463 4.4547 6.3005
Dy 2.6547 4.4443 1.2975
Dy 0.9109 6.2246 3.7973
Th 0.9090 2.6829 3.7954
```

***

Most stable to least stable: b, a

***

a | Crystalline Sm8Dy2Th at its relaxed geometry, computed with GGA-PBE.

ρ   7.98 g/cm³
N(E_F)   16.02 states/eV per cell

The structure in extended XYZ format:
```
11
Lattice="9.2023 -2.5522 0.0000 9.2023 2.5522 0.0000 -2.1302 0.0000 7.7926" Properties=species:S:1:pos:R:3 pbc="T T T"
Sm 0.3332 0.0000 1.8180
Sm 1.0395 0.0000 5.3087
Sm 4.6258 0.0000 4.6019
Sm 7.4248 0.0000 0.3718
Sm 8.8495 0.0000 7.4209
Sm 11.6485 0.0000 3.1907
Sm 15.2348 0.0000 2.4839
Sm 15.9412 0.0000 5.9747
Dy 3.9079 0.0000 1.0562
Dy 12.3665 0.0000 6.7364
Th 8.1372 0.0000 3.8963
```

***

b | Crystalline Sm8Dy2Th at its relaxed geometry, computed with GGA-PBE.

ρ   7.93 g/cm³
N(E_F)   14.85 states/eV per cell

The structure in extended XYZ format:
```
11
Lattice="8.8955 -3.5456 0.0000 8.8955 3.5456 0.0000 -1.8004 0.0000 5.8439" Properties=species:S:1:pos:R:3 pbc="T T T"
Sm 0.0285 0.0000 1.4765
Sm 6.1867 1.5813 1.9627
Sm 3.9322 0.0000 4.3150
Sm 9.8039 1.5813 3.8812
Sm 6.1867 -1.5813 1.9627
Sm 12.0583 0.0000 1.5289
Sm 9.8039 -1.5813 3.8812
Sm 15.9621 0.0000 4.3675
Dy 3.2346 0.0000 0.8853
Dy 12.7560 0.0000 4.9586
Th 8.8955 0.0000 0.0000
```

***

Most stable to least stable: a, b

***

a | Crystalline Sm3Dy3Th at its relaxed geometry, computed with GGA-PBE.

ρ   8.41 g/cm³
N(E_F)   22.81 states/eV per cell

The structure in extended XYZ format:
```
14
Lattice="9.6410 0.0000 0.0000 -4.8205 8.3494 0.0000 0.0000 0.0000 5.7449" Properties=species:S:1:pos:R:3 pbc="T T T"
Sm -0.6350 2.0458 1.4362
Sm -2.7313 7.8764 1.4362
Sm 1.4542 1.5728 4.3087
Sm 3.3663 6.7765 1.4362
Sm 7.5518 0.4730 4.3087
Sm 5.4555 6.3035 4.3087
Dy -1.4024 4.0163 4.3087
Dy -0.6411 7.5557 4.3087
Dy 2.7771 3.2227 1.4362
Dy 2.0434 5.1267 4.3087
Dy 5.4616 0.7937 1.4362
Dy 6.2229 4.3330 1.4362
Th 0.0000 5.5663 1.4362
Th 4.8205 2.7831 4.3087
```

***

b | Crystalline Sm3Dy3Th at its relaxed geometry, computed with GGA-PBE.

ρ   8.17 g/cm³
N(E_F)   22.87 states/eV per cell

The structure in extended XYZ format:
```
14
Lattice="4.3449 2.5085 7.2733 -4.3449 2.5085 7.2733 0.0000 -5.0170 7.2733" Properties=species:S:1:pos:R:3 pbc="T T T"
Sm -2.1965 0.4996 6.1939
Sm 0.6656 -2.1520 6.1939
Sm -1.5309 -1.6525 15.6260
Sm 1.5309 1.6525 6.1939
Sm -0.6656 2.1520 15.6260
Sm 2.1965 -0.4996 15.6260
Dy -2.0271 0.0275 9.6399
Dy -1.0374 -1.7418 12.1800
Dy 0.9897 -1.7693 9.6399
Dy -0.9897 1.7693 12.1800
Dy 1.0374 1.7418 9.6399
Dy 2.0271 -0.0275 12.1800
Th 0.0000 0.0000 3.3670
Th 0.0000 0.0000 18.4529
```

***

Most stable to least stable: a, b

***

a | Crystalline SmDy4Th at its relaxed geometry, computed with GGA-PBE.

ρ   8.94 g/cm³
N(E_F)   8.22 states/eV per cell

The structure in extended XYZ format:
```
6
Lattice="7.7092 -1.7855 0.0000 7.7092 1.7855 0.0000 -1.6642 0.0000 6.9665" Properties=species:S:1:pos:R:3 pbc="T T T"
Sm 0.0000 0.0000 0.0000
Dy 4.8620 0.0000 1.2010
Dy 4.0802 0.0000 4.6163
Dy 9.6740 0.0000 2.3502
Dy 8.8922 0.0000 5.7655
Th -0.8321 0.0000 3.4832
```

***

b | Crystalline SmDy4Th at its relaxed geometry, computed with GGA-PBE.

ρ   8.60 g/cm³
N(E_F)   13.87 states/eV per cell

The structure in extended XYZ format:
```
6
Lattice="0.0000 4.6365 4.6365 4.6365 0.0000 4.6365 4.6365 4.6365 0.0000" Properties=species:S:1:pos:R:3 pbc="T T T"
Sm 0.0000 0.0000 0.0000
Dy 5.7883 3.4847 3.4847
Dy 3.4847 5.7883 3.4847
Dy 3.4847 3.4847 5.7883
Dy 5.7883 5.7883 5.7883
Th 2.3182 2.3182 2.3182
```

***

c | Crystalline SmDy4Th at its relaxed geometry, computed with GGA-PBE.

ρ   8.58 g/cm³
N(E_F)   19.86 states/eV per cell

The structure in extended XYZ format:
```
12
Lattice="4.4120 -7.2729 0.0000 4.4120 7.2729 0.0000 -2.2825 0.0000 6.2252" Properties=species:S:1:pos:R:3 pbc="T T T"
Sm 2.7001 5.9894 4.6689
Sm 3.8414 -5.9894 1.5563
Dy -0.2072 1.8519 5.4449
Dy 2.5382 2.8025 2.8994
Dy 0.9340 -1.8519 2.3323
Dy 5.1446 2.8025 0.2132
Dy 1.3969 -2.8025 6.0120
Dy 5.6075 1.8519 3.8928
Dy 4.0033 -2.8025 3.3258
Dy 6.7487 -1.8519 0.7803
Th 3.8414 0.0091 1.5563
Th 2.7001 -0.0091 4.6689
```

***

Most stable to least stable: a, c, b